Record 1
A plane-wave DFT calculation with PBE was carried out for Ba2YW after structural relaxation.

Properties
symmetry = I4/mmm
E above lowest polymorph = 420 meV per atom
V = 131.27 Å³ per cell

Unit cell a=6.4306 b=6.4306 c=6.4306 alpha=134.94 beta=134.94 gamma=65.63
Sites, in units of the cell vectors:
Ba1 0.2500 0.7500 0.5000
Ba2 0.7500 0.2500 0.5000
Y1 0.0000 0.0000 0.0000
W1 0.5000 0.5000 0.0000


Record 2
A plane-wave DFT calculation with PBE was carried out for Ta2Tl2VTe6 after structural relaxation.

Properties
symmetry = C2/m
energy relative to the elements, uncorrected = -309 kJ/mol of formula units
V = 333.51 Å³ per cell

Unit cell a=6.7237 b=6.7237 c=8.6139 alpha=91.28 beta=91.28 gamma=120.98
Sites, in units of the cell vectors:
Ta1 0.1257 0.8743 0.0000
Ta2 0.8743 0.1257 0.0000
Tl1 0.1765 0.8235 0.5000
Tl2 0.8235 0.1765 0.5000
V1 0.5000 0.5000 0.0000
Te1 0.1574 0.5060 0.8217
Te2 0.2060 0.2060 0.2288
Te3 0.4940 0.8426 0.1783
Te4 0.5060 0.1574 0.8217
Te5 0.7940 0.7940 0.7712
Te6 0.8426 0.4940 0.1783


Record 3
A plane-wave DFT calculation with PBE was carried out for MnGePCN after structural relaxation.

Properties
symmetry = P1
E above lowest polymorph = 136 meV per atom
energy relative to the elements, uncorrected = 111 kJ/mol of formula units
V = 72.48 Å³ per cell

Unit cell a=3.5254 b=3.7603 c=6.2657 alpha=73.02 beta=74.18 gamma=68.19
Sites, in units of the cell vectors:
Mn1 0.0000 0.0000 0.0000
Ge1 0.8488 0.8533 0.4239
P1 0.1307 0.1448 0.5992
C1 0.4655 0.2244 0.0068
N1 0.1039 0.4761 0.0062


Record 4
A plane-wave DFT calculation with PBE was carried out for HoPaSn2 after structural relaxation.

Properties
symmetry = P4/mmm
E above lowest polymorph = 14 meV per atom
V = 103.70 Å³ per cell

Unit cell a=4.8719 b=4.8719 c=4.3691 alpha=90.00 beta=90.00 gamma=90.00
Sites, in units of the cell vectors:
Ho1 0.0000 0.0000 0.0000
Pa1 0.5000 0.5000 0.0000
Sn1 0.0000 0.5000 0.5000
Sn2 0.5000 0.0000 0.5000


Record 5
A plane-wave DFT calculation with PBE was carried out for RbTiAs2Br after structural relaxation.

Properties
symmetry = P4/mmm
E above lowest polymorph = 0 meV per atom
energy relative to the elements, uncorrected = -294 kJ/mol of formula units
V = 141.67 Å³ per cell

Unit cell a=4.8917 b=4.8917 c=5.9203 alpha=90.00 beta=90.00 gamma=90.00
Sites, in units of the cell vectors:
Rb1 0.0000 0.0000 0.0000
Ti1 0.5000 0.5000 0.5000
As1 0.0000 0.5000 0.5000
As2 0.5000 0.0000 0.5000
Br1 0.5000 0.5000 0.0000


Record 6
A plane-wave DFT calculation with PBE was carried out for Al5Co4Pt after structural relaxation.

Properties
symmetry = P4/mmm
V = 122.36 Å³ per cell

Unit cell a=2.8259 b=2.8259 c=15.3229 alpha=90.00 beta=90.00 gamma=90.00
Sites, in units of the cell vectors:
Al1 0.0000 0.0000 0.0000
Al2 0.0000 0.0000 0.1894
Al3 0.0000 0.0000 0.3807
Al4 0.0000 0.0000 0.6193
Al5 0.0000 0.0000 0.8106
Co1 0.5000 0.5000 0.0942
Co2 0.5000 0.5000 0.2848
Co3 0.5000 0.5000 0.7152
Co4 0.5000 0.5000 0.9058
Pt1 0.5000 0.5000 0.5000


Record 7
A plane-wave DFT calculation with PBE was carried out for NaLiTeCl6 after structural relaxation.

Properties
symmetry = P-31c
energy relative to the elements, uncorrected = -985 kJ/mol of formula units
V = 480.05 Å³ per cell

Unit cell a=6.6233 b=6.6233 c=12.6358 alpha=90.00 beta=90.00 gamma=120.00
Sites, in units of the cell vectors:
Na1 0.0000 0.0000 0.0000
Na2 0.0000 0.0000 0.5000
Li1 0.3333 0.6667 0.2500
Li2 0.6667 0.3333 0.7500
Te1 0.3333 0.6667 0.7500
Te2 0.6667 0.3333 0.2500
Cl1 0.0022 0.3591 0.6345
Cl2 0.0022 0.6431 0.8655
Cl3 0.3569 0.3591 0.8655
Cl4 0.3569 0.9978 0.6345
Cl5 0.3591 0.0022 0.1345
Cl6 0.3591 0.3569 0.3655
Cl7 0.6409 0.6431 0.6345
Cl8 0.6409 0.9978 0.8655
Cl9 0.6431 0.0022 0.3655
Cl10 0.6431 0.6409 0.1345
Cl11 0.9978 0.3569 0.1345
Cl12 0.9978 0.6409 0.3655


Record 8
A plane-wave DFT calculation with PBE was carried out for Li3LaPt after structural relaxation.

Properties
symmetry = P1
E above lowest polymorph = 0 meV per atom
V = 215.83 Å³ per cell

Unit cell a=5.1694 b=6.0932 c=7.1543 alpha=77.91 beta=88.31 gamma=78.40
Sites, in units of the cell vectors:
Li1 0.0000 0.0000 0.0000
Li2 0.0260 0.3540 0.6611
Li3 0.0691 0.8987 0.4135
Li4 0.4956 0.5003 0.5016
Li5 0.5300 0.8540 0.1641
Li6 0.5699 0.3976 0.9140
La1 0.0932 0.4334 0.1697
La2 0.5924 0.9331 0.6704
Pt1 0.1438 0.7057 0.7802
Pt2 0.6441 0.2075 0.2815


Record 9
A plane-wave DFT calculation with PBE was carried out for La2Cd5Hg5 after structural relaxation.

Properties
symmetry = Pmmm
V = 306.68 Å³ per cell

Unit cell a=5.0989 b=5.8480 c=10.2848 alpha=90.00 beta=90.00 gamma=90.00
Sites, in units of the cell vectors:
La1 0.0000 0.0000 0.0000
La2 0.0000 0.5000 0.5000
Cd1 0.5000 0.0000 0.5000
Cd2 0.5000 0.2499 0.2511
Cd3 0.5000 0.2499 0.7489
Cd4 0.5000 0.7501 0.2511
Cd5 0.5000 0.7501 0.7489
Hg1 0.0000 0.0000 0.3332
Hg2 0.0000 0.0000 0.6668
Hg3 0.0000 0.5000 0.1704
Hg4 0.0000 0.5000 0.8296
Hg5 0.5000 0.5000 0.0000


Record 10
A plane-wave DFT calculation with PBE was carried out for SbPt3Pb after structural relaxation.

Properties
symmetry = Pm-3m
E above lowest polymorph = 615 meV per atom
energy relative to the elements, uncorrected = 476 kJ/mol of formula units
V = 129.03 Å³ per cell

Unit cell a=5.0531 b=5.0531 c=5.0531 alpha=90.00 beta=90.00 gamma=90.00
Sites, in units of the cell vectors:
Sb1 0.0000 0.0000 0.0000
Pt1 0.0000 0.5000 0.5000
Pt2 0.5000 0.0000 0.5000
Pt3 0.5000 0.5000 0.0000
Pb1 0.5000 0.5000 0.5000


Record 11
A plane-wave DFT calculation with PBE was carried out for Ac2CuSi3Au4 after structural relaxation.

Properties
symmetry = P-4m2
energy relative to the elements, uncorrected = -556 kJ/mol of formula units
V = 209.07 Å³ per cell

Unit cell a=4.5246 b=4.5246 c=10.2122 alpha=90.00 beta=90.00 gamma=90.00
Sites, in units of the cell vectors:
Ac1 0.0000 0.5000 0.2472
Ac2 0.5000 0.0000 0.7528
Cu1 0.5000 0.5000 0.0000
Si1 0.0000 0.0000 0.0000
Si2 0.0000 0.5000 0.6312
Si3 0.5000 0.0000 0.3688
Au1 0.0000 0.0000 0.5000
Au2 0.0000 0.5000 0.8782
Au3 0.5000 0.0000 0.1218
Au4 0.5000 0.5000 0.5000


Record 12
A plane-wave DFT calculation with PBE was carried out for Pr4Sm4Ho3 after structural relaxation.

Properties
symmetry = P-1
E above lowest polymorph = 0 meV per atom
V = 371.89 Å³ per cell

Unit cell a=3.5749 b=5.7291 c=18.4655 alpha=81.14 beta=84.45 gamma=90.00
Sites, in units of the cell vectors:
Pr1 0.0460 0.0480 0.4077
Pr2 0.1796 0.6802 0.1403
Pr3 0.8204 0.3198 0.8597
Pr4 0.9540 0.9520 0.5923
Sm1 0.0904 0.5920 0.3189
Sm2 0.2330 0.2329 0.0344
Sm3 0.7670 0.7671 0.9656
Sm4 0.9096 0.4080 0.6811
Ho1 0.3641 0.8632 0.7724
Ho2 0.5000 0.5000 0.5000
Ho3 0.6359 0.1368 0.2276


no.,final energy (eV for the cell shown)
1,-18.60
2,-59.61
3,-35.60
4,-23.54
5,-22.88
6,-59.85
7,-55.33
8,-37.37
9,-18.55
10,-21.02
11,-47.45
12,-51.11